Version a
An optimized crystal structure of AlCu3Ni3. Source: Alexandria via LeMat-Bulk, functional PBE-GGA.

Cell and atoms, written as extended XYZ:
```
14
Lattice="2.575 0.000 0.000 0.000 6.790 0.000 0.000 0.000 9.659" Properties=species:S:1:pos:R:3 pbc="T T T"
Al 0.644 1.698 2.227
Al 1.931 5.093 7.432
Cu 0.644 0.435 8.119
Cu 0.644 2.960 8.119
Cu 0.644 5.093 3.480
Cu 1.931 1.698 6.179
Cu 1.931 3.830 1.540
Cu 1.931 6.355 1.540
Ni 0.644 3.867 5.743
Ni 0.644 5.093 9.480
Ni 0.644 6.319 5.743
Ni 1.931 0.472 3.916
Ni 1.931 1.698 0.179
Ni 1.931 2.923 3.916
```

Values from the calculation:
Magnetization   0.00 μB/f.u.
Space group   Pmmn

=====

Version b
An optimized crystal structure of AlCu3Ni3. Source: Alexandria via LeMat-Bulk, functional PBE-GGA.

Cell and atoms, written as extended XYZ:
```
14
Lattice="6.705 0.000 0.000 -3.352 5.806 0.000 0.000 0.000 4.180" Properties=species:S:1:pos:R:3 pbc="T T T"
Al 0.000 3.871 1.045
Al 3.352 1.935 3.135
Cu -0.946 2.728 3.135
Cu -0.517 5.261 3.135
Cu 1.890 2.183 1.045
Cu 1.463 3.623 3.135
Cu 3.869 0.545 1.045
Cu 4.298 3.078 1.045
Ni -0.469 1.370 1.045
Ni -1.931 5.528 1.045
Ni 0.952 1.091 3.135
Ni 2.400 4.715 1.045
Ni 5.284 0.279 3.135
Ni 3.821 4.436 3.135
```

Values from the calculation:
Magnetization   0.00 μB/f.u.
Space group   P6_3/m

=====

Which is most stable? The ranking, best first, is version b, version a.

=====

Version a
An optimized crystal structure of Al2Cu4Ni. Source: Alexandria via LeMat-Bulk, functional PBE-GGA.

Cell and atoms, written as extended XYZ:
```
14
Lattice="6.281 0.000 0.000 0.000 3.824 0.000 -0.029 0.000 7.624" Properties=species:S:1:pos:R:3 pbc="T T T"
Al 1.297 0.956 0.896
Al 1.511 0.956 4.866
Al 4.742 2.868 2.759
Al 4.955 2.868 6.728
Cu -0.012 2.868 4.682
Cu 1.316 2.868 6.750
Cu 3.119 0.956 2.803
Cu 3.133 2.868 0.875
Cu 3.119 0.956 6.749
Cu 3.133 2.868 4.822
Cu 4.936 0.956 0.874
Cu 6.264 0.956 2.942
Ni 1.520 2.868 2.747
Ni 4.732 0.956 4.877
```

Values from the calculation:
Magnetization   0.00 μB/f.u.
Space group   P2_1/m

=====

Version b
An optimized crystal structure of Al2Cu4Ni. Source: Alexandria via LeMat-Bulk, functional PBE-GGA.

Cell and atoms, written as extended XYZ:
```
14
Lattice="1.324 -2.293 0.000 1.324 2.293 0.000 0.000 0.000 30.409" Properties=species:S:1:pos:R:3 pbc="T T T"
Al 1.324 1.529 15.204
Al 1.324 1.529 25.807
Al 1.324 -1.529 0.000
Al 1.324 -1.529 10.603
Cu 1.324 1.526 21.647
Cu 1.324 1.528 28.317
Cu 1.324 -0.002 2.075
Cu 1.324 0.001 8.511
Cu 1.324 0.002 17.279
Cu 1.324 -0.001 23.715
Cu 1.324 -1.526 6.443
Cu 1.324 -1.528 13.113
Ni 1.324 0.007 4.448
Ni 1.324 -0.007 19.652
```

Values from the calculation:
Magnetization   0.42 μB/f.u.
Space group   Cmc2_1

=====

Which is most stable? The ranking, best first, is version a, version b.

=====

Version a
An optimized crystal structure of Al2Cu4Ni. Source: Alexandria via LeMat-Bulk, functional PBE-GGA.

Cell and atoms, written as extended XYZ:
```
7
Lattice="2.647 0.000 0.000 -1.323 2.292 0.000 0.000 0.000 15.224" Properties=species:S:1:pos:R:3 pbc="T T T"
Al 0.000 0.000 0.000
Al 0.000 1.528 10.613
Cu 0.000 1.528 6.443
Cu 0.000 1.528 13.134
Cu 1.323 0.764 2.082
Cu 1.323 0.764 8.513
Ni 1.323 0.764 4.449
```

Values from the calculation:
Magnetization   0.44 μB/f.u.
Space group   P3m1

=====

Version b
An optimized crystal structure of Al2Cu4Ni. Source: Alexandria via LeMat-Bulk, functional PBE-GGA.

Cell and atoms, written as extended XYZ:
```
7
Lattice="2.642 0.000 0.000 -1.321 2.288 0.000 0.000 0.000 15.294" Properties=species:S:1:pos:R:3 pbc="T T T"
Al 0.000 1.525 3.147
Al 1.321 0.763 12.147
Cu 0.000 1.525 5.647
Cu 0.000 1.525 14.257
Cu 1.321 0.763 1.038
Cu 1.321 0.763 9.648
Ni 0.000 0.000 7.647
```

Values from the calculation:
Magnetization   0.31 μB/f.u.
Space group   P-3m1

=====

Which is most stable? The ranking, best first, is version b, version a.

=====

Version a
An optimized crystal structure of AlCu3O6. Source: Alexandria via LeMat-Bulk, functional PBE-GGA.

Cell and atoms, written as extended XYZ:
```
20
Lattice="2.926 0.000 0.000 0.000 11.870 0.000 -0.105 0.000 5.936" Properties=species:S:1:pos:R:3 pbc="T T T"
Al 0.595 0.000 2.066
Al 2.226 5.935 3.869
Cu 0.609 8.043 2.287
Cu 0.615 7.927 5.354
Cu 0.772 4.218 1.889
Cu 2.049 10.153 4.046
Cu 2.206 1.992 0.582
Cu 2.212 2.108 3.649
O 0.412 1.926 2.114
O 0.597 10.054 2.718
O 0.582 9.828 5.238
O 0.769 6.165 2.537
O 0.761 6.041 5.057
O 0.997 2.180 5.036
O 1.824 8.115 0.899
O 2.060 0.107 0.879
O 2.052 0.230 3.399
O 2.239 3.893 0.697
O 2.224 4.119 3.218
O 2.409 7.861 3.821
```

Values from the calculation:
Magnetization   0.00 μB/f.u.
Space group   P2_1

=====

Version b
An optimized crystal structure of AlCu3O6. Source: Alexandria via LeMat-Bulk, functional PBE-GGA.

Cell and atoms, written as extended XYZ:
```
20
Lattice="1.550 -8.012 0.000 1.550 8.012 0.000 0.000 0.000 10.304" Properties=species:S:1:pos:R:3 pbc="T T T"
Al 1.550 4.152 5.152
Al 1.550 -4.152 0.000
Cu 1.550 6.568 1.206
Cu 1.550 4.256 8.002
Cu 1.550 1.320 1.624
Cu 1.550 -1.320 6.775
Cu 1.550 -4.256 2.850
Cu 1.550 -6.568 6.358
O 1.550 7.789 7.103
O 1.550 5.466 6.534
O 1.550 4.727 0.959
O 1.550 3.092 3.601
O 1.550 3.058 9.396
O 1.550 1.152 5.586
O 1.550 -1.152 0.435
O 1.550 -3.058 4.244
O 1.550 -3.092 8.753
O 1.550 -4.727 6.111
O 1.550 -5.466 1.382
O 1.550 -7.789 1.951
```

Values from the calculation:
Magnetization   0.45 μB/f.u.
Space group   Cmc2_1

=====

Which is most stable? The ranking, best first, is version a, version b.

=====

Version a
An optimized crystal structure of AlCu2O4. Source: Alexandria via LeMat-Bulk, functional PBE-GGA.

Cell and atoms, written as extended XYZ:
```
14
Lattice="-2.606 2.606 4.905 2.606 -2.606 4.905 2.606 2.606 -4.905" Properties=species:S:1:pos:R:3 pbc="T T T"
Al 0.000 1.303 1.226
Al 2.606 1.303 3.679
Cu 1.303 1.303 -2.452
Cu 1.303 -1.303 2.452
Cu 2.606 0.000 0.000
Cu 0.000 0.000 4.905
O 4.264 -0.303 0.840
O 1.606 0.355 1.613
O 1.658 -0.303 4.065
O 1.606 2.961 -1.613
O 1.000 -0.355 6.517
O 0.948 2.909 0.840
O 1.000 2.251 3.292
O -1.658 2.909 4.065
```

Values from the calculation:
Magnetization   0.28 μB/f.u.
Space group   I4_1/a

=====

Version b
An optimized crystal structure of AlCu2O4. Source: Alexandria via LeMat-Bulk, functional PBE-GGA.

Cell and atoms, written as extended XYZ:
```
14
Lattice="0.000 4.127 4.127 4.127 0.000 4.127 4.127 4.127 0.000" Properties=species:S:1:pos:R:3 pbc="T T T"
Al 1.032 1.032 1.032
Al 7.223 7.223 7.223
Cu 4.127 2.064 2.064
Cu 2.064 4.127 2.064
Cu 2.064 2.064 4.127
Cu 4.127 4.127 4.127
O 2.077 2.077 2.077
O 4.114 4.114 2.077
O 4.114 2.077 4.114
O 6.178 4.141 4.141
O 2.077 4.114 4.114
O 4.141 6.178 4.141
O 4.141 4.141 6.178
O 6.178 6.178 6.178
```

Values from the calculation:
Magnetization   3.02 μB/f.u.
Space group   Fd-3m

=====

Which is most stable? The ranking, best first, is version b, version a.